[1]
BaSrCaWO6 | PBE with a Hubbard U | optimized geometry

Results
- Offset from the most stable computed form: 118 meV/atom

CIF file:
```
data_BaSrCaWO6
_cell_length_a 5.951
_cell_length_b 5.951
_cell_length_c 8.727
_cell_angle_alpha 90.00
_cell_angle_beta 90.00
_cell_angle_gamma 90.00
_symmetry_space_group_name_H-M 'P -4 n 2'
_symmetry_Int_Tables_number 118
loop_
_symmetry_equiv_pos_as_xyz
'x,y,z'
'y,-x,-z'
'-x,-y,z'
'-y,x,-z'
'-x+1/2,y+1/2,z+1/2'
'-y+1/2,-x+1/2,-z+1/2'
'x+1/2,-y+1/2,z+1/2'
'y+1/2,x+1/2,-z+1/2'
loop_
_atom_site_label
_atom_site_fract_x
_atom_site_fract_y
_atom_site_fract_z
_atom_site_occupancy
Ba1 0.000 0.500 0.250 1
Sr1 0.000 0.000 0.000 1
Ca1 0.000 0.500 0.750 1
W1 0.000 0.000 0.500 1
O1 0.000 0.000 0.274 1
O2 0.141 0.295 0.523 1
```

---

[2]
BaSrCaWO6 | PBE with a Hubbard U | optimized geometry

Results
- Offset from the most stable computed form: 216 meV/atom

CIF file:
```
data_BaSrCaWO6
_cell_length_a 8.634
_cell_length_b 8.634
_cell_length_c 8.634
_cell_angle_alpha 90.00
_cell_angle_beta 90.00
_cell_angle_gamma 90.00
_symmetry_space_group_name_H-M 'F -4 3 m'
_symmetry_Int_Tables_number 216
_symmetry_space_group_name_Hall 'F -4 2 3'
loop_
_atom_site_label
_atom_site_fract_x
_atom_site_fract_y
_atom_site_fract_z
_atom_site_occupancy
Ba1 0.000 0.000 0.000 1
Sr1 0.250 0.250 0.250 1
Ca1 0.000 0.000 0.500 1
W1 0.250 0.250 0.750 1
O1 0.024 0.250 0.750 1
```

---

[3]
BaSrCaWO6 | PBE with a Hubbard U | optimized geometry

Results
- Offset from the most stable computed form: 0 meV/atom

CIF file:
```
data_BaSrCaWO6
_cell_length_a 5.956
_cell_length_b 5.971
_cell_length_c 8.428
_cell_angle_alpha 89.66
_cell_angle_beta 89.66
_cell_angle_gamma 89.97
_symmetry_space_group_name_H-M 'P -1'
_symmetry_Int_Tables_number 2
loop_
_symmetry_equiv_pos_as_xyz
'x,y,z'
'-x,-y,-z'
loop_
_atom_site_label
_atom_site_fract_x
_atom_site_fract_y
_atom_site_fract_z
_atom_site_occupancy
Ba1 0.004 0.018 0.250 1
Sr1 0.496 0.526 0.249 1
Ca1 0.000 0.500 0.000 1
Ca2 0.500 0.000 0.500 1
W1 0.000 0.500 0.500 1
W2 0.500 0.000 0.000 1
O1 0.073 0.489 0.727 1
O2 0.204 0.754 0.474 1
O3 0.240 0.801 0.018 1
O4 0.254 0.300 0.455 1
O5 0.309 0.263 0.044 1
O6 0.448 0.041 0.772 1
```

---

[4]
BaSrCaWO6 | PBE with a Hubbard U | optimized geometry

Results
- Offset from the most stable computed form: 77 meV/atom

CIF file:
```
data_BaSrCaWO6
_cell_length_a 5.941
_cell_length_b 6.077
_cell_length_c 8.614
_cell_angle_alpha 89.68
_cell_angle_beta 89.69
_cell_angle_gamma 89.49
_symmetry_space_group_name_H-M 'P -1'
_symmetry_Int_Tables_number 2
loop_
_symmetry_equiv_pos_as_xyz
'x,y,z'
'-x,-y,-z'
loop_
_atom_site_label
_atom_site_fract_x
_atom_site_fract_y
_atom_site_fract_z
_atom_site_occupancy
Ba1 0.009 0.463 0.249 1
Sr1 0.000 0.000 0.000 1
Sr2 0.500 0.500 0.500 1
Ca1 0.498 0.030 0.742 1
W1 0.000 0.000 0.500 1
W2 0.500 0.500 0.000 1
O1 0.107 0.995 0.718 1
O2 0.166 0.728 0.465 1
O3 0.218 0.662 0.012 1
O4 0.273 0.164 0.439 1
O5 0.348 0.228 0.074 1
O6 0.439 0.415 0.782 1
```

---

[5]
Ba8Sr3CaW4O24 | PBE with a Hubbard U | optimized geometry

Results
- Raw total energy: -278.001 eV/cell

CIF file:
```
data_Ba8Sr3CaW4O24
_cell_length_a 6.081
_cell_length_b 10.569
_cell_length_c 10.688
_cell_angle_alpha 99.24
_cell_angle_beta 106.30
_cell_angle_gamma 90.02
_symmetry_space_group_name_H-M 'P -1'
_symmetry_Int_Tables_number 2
loop_
_symmetry_equiv_pos_as_xyz
'x,y,z'
'-x,-y,-z'
loop_
_atom_site_label
_atom_site_fract_x
_atom_site_fract_y
_atom_site_fract_z
_atom_site_occupancy
Ba1 0.063 0.184 0.124 1
Ba2 0.183 0.561 0.369 1
Ba3 0.316 0.938 0.634 1
Ba4 0.432 0.306 0.872 1
Sr1 0.000 0.500 0.000 1
Sr2 0.250 0.250 0.500 1
Ca1 0.500 0.000 0.000 1
W1 0.127 0.878 0.248 1
W2 0.375 0.627 0.752 1
O1 0.006 0.841 0.391 1
O2 0.048 0.700 0.157 1
O3 0.064 0.673 0.665 1
O4 0.179 0.074 0.852 1
O5 0.202 0.055 0.337 1
O6 0.255 0.917 0.106 1
O7 0.272 0.583 0.898 1
O8 0.299 0.449 0.660 1
O9 0.312 0.418 0.163 1
O10 0.432 0.829 0.341 1
O11 0.450 0.806 0.848 1
O12 0.476 0.670 0.604 1
```

---

[6]
BaSrCaWO6 | PBE with a Hubbard U | optimized geometry

Results
- Offset from the most stable computed form: 0 meV/atom

CIF file:
```
data_BaSrCaWO6
_cell_length_a 10.255
_cell_length_b 5.951
_cell_length_c 5.994
_cell_angle_alpha 90.00
_cell_angle_beta 125.04
_cell_angle_gamma 90.00
_symmetry_space_group_name_H-M 'C 1 m 1'
_symmetry_Int_Tables_number 8
loop_
_symmetry_equiv_pos_as_xyz
'x,y,z'
'x,-y,z'
'x+1/2,y+1/2,z'
'x+1/2,-y+1/2,z'
loop_
_atom_site_label
_atom_site_fract_x
_atom_site_fract_y
_atom_site_fract_z
_atom_site_occupancy
Ba1 0.000 0.000 0.000 1
Sr1 0.497 0.000 0.479 1
Ca1 0.250 0.000 0.745 1
W1 0.248 0.500 0.246 1
O1 0.023 0.500 0.934 1
O2 0.207 0.276 0.439 1
O3 0.288 0.260 0.068 1
O4 0.476 0.500 0.534 1
```

---

no.,V (Å³ per atom)
1,15.45
2,16.09
3,14.99
4,15.55
5,16.25
6,14.97